An optimized crystal structure of MnHO2, computed with PBE with a Hubbard U.

It has space group P2_1/c (No. 14), with a = 5.201 Å, b = 5.186 Å, c = 6.001 Å, α = 90.00°, β = 112.72° and γ = 90.00°. The inequivalent atoms are Mn at (0.234, 0.120, 0.232), H at (0.318, 0.657, 0.320), O at (0.104, 0.063, 0.824) and O at (0.454, 0.701, 0.817).

Its total energy is -0.4793 Ry/atom.